[1]
GdErAu: optimized geometry, PBE.

Cell and atoms, written as POSCAR:
```
GdErAu
1.0
0.000 3.435 3.435
3.435 0.000 3.435
3.435 3.435 0.000
Au Er Gd
1 1 1
direct
0.250 0.250 0.250
0.750 0.750 0.750
0.000 0.000 0.000
```

Calculated values
- Energy of formation: 175.5 meV per atom
- ρ: 10.68 Mg/m³

=====

[2]
GdErHg2Au4: optimized geometry, PBE.

Cell and atoms, written as POSCAR:
```
GdErHg2Au4
1.0
-4.306 2.163 1.034
-2.378 -3.582 -2.409
-0.433 -3.680 5.900
Au Er Gd Hg
4 1 1 2
direct
0.500 0.000 0.255
0.000 0.500 0.255
0.500 0.000 0.745
0.000 0.500 0.745
0.000 0.000 0.500
0.500 0.500 0.000
0.000 0.000 0.000
0.500 0.500 0.500
```

Calculated values
- Energy of formation: -598.2 meV per atom
- ρ: 14.85 Mg/m³

=====

[3]
GdEr2In3Ni2Au: optimized geometry, PBE.

Cell and atoms, written as POSCAR:
```
GdEr2In3Ni2Au
1.0
-3.190 -2.217 0.381
3.207 -3.623 5.768
-4.135 6.165 1.252
Au Er Gd In Ni
1 2 1 3 2
direct
0.000 0.002 0.002
0.000 0.999 0.408
0.000 0.408 0.999
0.000 0.592 0.592
0.500 0.726 0.001
0.500 0.273 0.273
0.500 0.001 0.726
0.500 0.668 0.332
0.500 0.332 0.668
```

Calculated values
- ρ: 9.98 Mg/m³
- Total energy: -4.595 eV/atom

=====

[4]
GdEr2In3Pd2Au: optimized geometry, PBE.

Cell and atoms, written as POSCAR:
```
GdEr2In3Pd2Au
1.0
3.817 0.000 0.000
0.000 6.755 3.891
0.000 -6.755 3.891
Au Er Gd In Pd
1 2 1 3 2
direct
0.000 0.999 0.999
0.000 0.594 0.000
0.000 0.000 0.594
0.000 0.406 0.406
0.500 0.999 0.269
0.500 0.731 0.731
0.500 0.269 0.999
0.500 0.669 0.332
0.500 0.332 0.669
```

Calculated values
- ρ: 10.31 Mg/m³
- Total energy: -4.733 eV/atom